TbCeSmAg | PBE | relaxed

The structure belongs to space group F-43m (No. 216); the cell edges are 7.553, 7.553 and 7.553 Å and the angles 90.00°, 90.00° and 90.00°. The asymmetric unit holds Tb at (0.000, 0.000, 0.000), Ce at (0.250, 0.250, 0.750), Sm at (0.000, 0.000, 0.500) and Ag at (0.250, 0.250, 0.250).

The value obtained for the formation energy is 130 meV per atom. The raw total energy comes out at -4.404 eV per atom.